(1)
# Li2Cd5Ag4

Crystalline Li2Cd5Ag4 at its relaxed geometry (GGA-PBE, Alexandria via LeMat-Bulk).

Values from the calculation:
Volume ... 207 Å³ per cell
ΔE to the lowest computed polymorph ... 0 meV/atom

Cell: 2.9499 7.3660 9.7345 Å, 95.39 91.22 99.93°
Closest atoms and distances in Å follow each position.
Space group P-1 (No. 2)
Unique sites:
Li: 0.1523 0.2838 0.3242  4 Ag 2.69-2.86, 3 Cd 2.81-2.96, 2 Li 2.95
Cd: 0.0000 0.0000 0.5000  2 Li 2.81, 4 Cd 2.95-3.11, 4 Ag 2.97-3.05
Cd: 0.2539 0.4637 0.8419  5 Ag 2.94-3.04, 2 Li 2.95-2.96, 3 Cd 2.95-3.15
Cd: 0.4725 0.9311 0.2152  6 Cd 2.95-3.29, 5 Ag 3.00-3.10, 2 Li 3.02-3.08
Ag: 0.0780 0.1963 0.0489  1 Li 2.69, 3 Ag 2.91-2.95, 4 Cd 2.94-3.00
Ag: 0.3119 0.6415 0.4279  3 Li 2.69-2.86, 4 Ag 2.95-3.01, 1 Cd 2.97

---

(2)
# KTl2Os

Crystalline KTl2Os at its relaxed geometry (GGA-PBE, Alexandria via LeMat-Bulk).

Values from the calculation:
Volume ... 406 Å³ per cell
ΔE to the lowest computed polymorph ... 586 meV/atom

Cell: 7.4072 7.4072 7.4072 Å, 90.00 90.00 90.00°
Closest atoms and distances in Å follow each position.
Space group F-43m (No. 216)
Unique sites:
K: 0.0000 0.0000 0.0000  4 Tl 3.21, 4 Os 3.21
Tl: 0.0000 0.0000 0.5000  4 Os 3.21, 4 Tl 3.21
Tl: 0.2500 0.2500 0.7500  4 Tl 3.21, 4 K 3.21
Os: 0.2500 0.2500 0.2500  4 Tl 3.21, 4 K 3.21

---

(3)
# Li2BeMo

Crystalline Li2BeMo at its relaxed geometry (GGA-PBE, Alexandria via LeMat-Bulk).

Values from the calculation:
Volume ... 110 Å³ per cell
ΔE to the lowest computed polymorph ... 259 meV/atom

Cell: 4.9524 9.0862 2.4503 Å, 90.00 90.00 90.00°
Closest atoms and distances in Å follow each position.
Space group Cmmm (No. 65)
Unique sites:
Li: 0.2500 0.2500 0.0000  4 Li 2.45-2.48
Be: 0.0000 0.0000 0.5000  2 Be 2.45, 2 Mo 2.48
Mo: 0.0000 0.5000 0.5000  2 Mo 2.45, 2 Be 2.48

---

Formation energy from the elements, record by record: -12.1; 109.7; 44.5 kJ/mol of atoms
Mass density, record by record: 8.071; 10.429; 3.579 g/cm³